# 1
! PBE Mg2ZrCdW, optimized geometry; values from VASP
&SYSTEM
  ibrav = 0, nat = 5, ntyp = 4
/
ATOMIC_SPECIES
Mg 24.30 Mg.upf
Zr 91.22 Zr.upf
Cd 112.41 Cd.upf
W 183.84 W.upf
CELL_PARAMETERS angstrom
4.7798 0.0000 0.0000
0.0000 4.7798 0.0000
0.0000 0.0000 5.3961
ATOMIC_POSITIONS crystal
Mg 0.0000 0.5000 0.0000
Mg 0.5000 0.0000 0.0000
Zr 0.0000 0.0000 0.5000
Cd 0.0000 0.0000 0.0000
W 0.5000 0.5000 0.5000
! Total moment = 1.1 μB per cell
! Formation energy from the elements = 1.444 eV per atom
! Space-group type = P4/mmm
! DOS(E_F) = 5.2 states/eV/cell
! Crystal system = tetragonal


# 2
! PBE ZrSc2Ga4, optimized geometry; values from VASP
&SYSTEM
  ibrav = 0, nat = 14, ntyp = 3
/
ATOMIC_SPECIES
Zr 91.22 Zr.upf
Sc 44.96 Sc.upf
Ga 69.72 Ga.upf
CELL_PARAMETERS angstrom
3.5233 0.0000 0.0000
0.0000 4.1369 0.0000
0.0000 0.0000 18.1158
ATOMIC_POSITIONS crystal
Zr 0.0000 0.0000 0.0000
Zr 0.5000 0.5000 0.5000
Sc 0.0000 0.5000 0.1936
Sc 0.0000 0.5000 0.8064
Sc 0.5000 0.0000 0.3064
Sc 0.5000 0.0000 0.6936
Ga 0.0000 0.0000 0.4330
Ga 0.0000 0.0000 0.5670
Ga 0.0000 0.5000 0.3523
Ga 0.0000 0.5000 0.6477
Ga 0.5000 0.0000 0.1477
Ga 0.5000 0.0000 0.8523
Ga 0.5000 0.5000 0.0670
Ga 0.5000 0.5000 0.9330
! Total moment = 0.7 μB per cell
! Formation energy from the elements = -0.549 eV per atom
! Space-group type = Immm
! DOS(E_F) = 11.8 states/eV/cell
! Crystal system = orthorhombic


# 3
! PBE Tc2AuSe2, optimized geometry; values from VASP
&SYSTEM
  ibrav = 0, nat = 10, ntyp = 3
/
ATOMIC_SPECIES
Tc 98.00 Tc.upf
Au 196.97 Au.upf
Se 78.96 Se.upf
CELL_PARAMETERS angstrom
4.0235 0.0000 0.0000
0.0000 4.0235 0.0000
0.0000 0.0000 11.1232
ATOMIC_POSITIONS crystal
Tc 0.0000 0.0000 0.1202
Tc 0.0000 0.0000 0.8798
Tc 0.5000 0.5000 0.3798
Tc 0.5000 0.5000 0.6202
Au 0.0000 0.0000 0.5000
Au 0.5000 0.5000 0.0000
Se 0.0000 0.5000 0.2500
Se 0.0000 0.5000 0.7500
Se 0.5000 0.0000 0.2500
Se 0.5000 0.0000 0.7500
! Uncorrected formation energy = 0.372 eV/atom
! Total moment = 0.0 μB per cell
! Space-group type = I4/mmm
! DOS(E_F) = 9.2 states/eV/cell
! Crystal system = tetragonal


# 4
! PBE YTaPb2, optimized geometry; values from VASP
&SYSTEM
  ibrav = 0, nat = 16, ntyp = 3
/
ATOMIC_SPECIES
Y 88.91 Y.upf
Ta 180.95 Ta.upf
Pb 207.20 Pb.upf
CELL_PARAMETERS angstrom
7.3175 0.0000 0.0000
0.0000 7.3175 0.0000
0.0000 0.0000 7.3175
ATOMIC_POSITIONS crystal
Y 0.0000 0.0000 0.0000
Y 0.0000 0.5000 0.5000
Y 0.5000 0.0000 0.5000
Y 0.5000 0.5000 0.0000
Ta 0.0000 0.0000 0.5000
Ta 0.0000 0.5000 0.0000
Ta 0.5000 0.0000 0.0000
Ta 0.5000 0.5000 0.5000
Pb 0.2500 0.2500 0.2500
Pb 0.2500 0.2500 0.7500
Pb 0.2500 0.7500 0.2500
Pb 0.2500 0.7500 0.7500
Pb 0.7500 0.2500 0.2500
Pb 0.7500 0.2500 0.7500
Pb 0.7500 0.7500 0.2500
Pb 0.7500 0.7500 0.7500
! Total moment = 4.3 μB per cell
! Formation energy from the elements = 0.271 eV per atom
! Space-group type = Fm-3m
! DOS(E_F) = 23.5 states/eV/cell
! Crystal system = cubic


# 5
! PBE HoScCoRu, optimized geometry; values from VASP
&SYSTEM
  ibrav = 0, nat = 4, ntyp = 4
/
ATOMIC_SPECIES
Ho 164.93 Ho.upf
Sc 44.96 Sc.upf
Co 58.93 Co.upf
Ru 101.07 Ru.upf
CELL_PARAMETERS angstrom
3.2727 0.0000 0.0000
0.0000 3.2727 0.0000
0.0000 0.0000 6.4756
ATOMIC_POSITIONS crystal
Ho 0.0000 0.0000 0.0000
Sc 0.0000 0.0000 0.5024
Co 0.5000 0.5000 0.7385
Ru 0.5000 0.5000 0.2671
! Total moment = 0.0 μB per cell
! Formation energy from the elements = -0.350 eV per atom
! Polymorph energy (0 for the lowest one) = 0.003 eV/atom
! Space-group type = P4mm
! DOS(E_F) = 2.8 states/eV/cell
! Crystal system = tetragonal


# 6
! PBE Pm2SeI, optimized geometry; values from VASP
&SYSTEM
  ibrav = 0, nat = 8, ntyp = 3
/
ATOMIC_SPECIES
Pm 145.00 Pm.upf
Se 78.96 Se.upf
I 126.90 I.upf
CELL_PARAMETERS angstrom
7.5541 0.0000 0.0000
0.0000 3.9683 0.0000
-0.0155 0.0000 8.1845
ATOMIC_POSITIONS crystal
Pm 0.0000 0.0000 0.0000
Pm 0.1993 0.5000 0.4562
Pm 0.4985 0.0000 0.1394
Pm 0.6999 0.5000 0.6834
Se 0.4818 0.0000 0.4989
Se 0.9816 0.0000 0.6400
I 0.3219 0.5000 0.8779
I 0.8214 0.5000 0.2599
! Uncorrected formation energy = -1.220 eV/atom
! Total moment = 0.0 μB per cell
! Polymorph energy (0 for the lowest one) = 0.108 eV/atom
! Space-group type = Pm
! DOS(E_F) = 4.9 states/eV/cell
! Crystal system = monoclinic


# 7
! PBE NaLiTe2S4, optimized geometry; values from VASP
&SYSTEM
  ibrav = 0, nat = 8, ntyp = 4
/
ATOMIC_SPECIES
Na 22.99 Na.upf
Li 6.94 Li.upf
Te 127.60 Te.upf
S 32.06 S.upf
CELL_PARAMETERS angstrom
0.0000 4.8540 4.3841
4.7613 0.0000 4.3841
4.7613 4.8540 0.0000
ATOMIC_POSITIONS crystal
Na 0.0000 0.0000 0.0000
Li 0.4947 0.4947 0.5053
Te 0.2458 0.2458 0.2542
Te 0.7458 0.7458 0.7542
S 0.1215 0.5829 0.8785
S 0.4008 0.8627 0.1373
S 0.5829 0.1215 0.4171
S 0.8627 0.4008 0.5992
! Uncorrected formation energy = -0.401 eV/atom
! Total moment = 0.0 μB per cell
! Space-group type = Fmm2
! DOS(E_F) = 0.6 states/eV/cell
! Crystal system = orthorhombic


# 8
! PBE RbCoIN2, optimized geometry; values from VASP
&SYSTEM
  ibrav = 0, nat = 5, ntyp = 4
/
ATOMIC_SPECIES
Rb 85.47 Rb.upf
Co 58.93 Co.upf
I 126.90 I.upf
N 14.01 N.upf
CELL_PARAMETERS angstrom
5.1952 0.0000 0.0000
0.0000 5.1952 0.0000
0.0000 0.0000 7.3888
ATOMIC_POSITIONS crystal
Rb 0.0000 0.0000 0.0000
Co 0.5000 0.5000 0.5000
I 0.0000 0.0000 0.5000
N 0.0000 0.5000 0.0000
N 0.5000 0.0000 0.0000
! Uncorrected formation energy = 2.399 eV/atom
! Total moment = 7.5 μB per cell
! Polymorph energy (0 for the lowest one) = 1.119 eV/atom
! Space-group type = P4/mmm
! DOS(E_F) = 10.9 states/eV/cell
! Crystal system = tetragonal


# 9
! PBE Hg2BrCl, optimized geometry; values from VASP
&SYSTEM
  ibrav = 0, nat = 8, ntyp = 3
/
ATOMIC_SPECIES
Hg 200.59 Hg.upf
Br 79.90 Br.upf
Cl 35.45 Cl.upf
CELL_PARAMETERS angstrom
7.5511 0.0000 0.0000
0.0000 4.9233 0.0000
-0.0674 0.0000 7.5144
ATOMIC_POSITIONS crystal
Hg 0.2484 0.0000 0.2558
Hg 0.2516 0.5000 0.7442
Hg 0.7484 0.5000 0.2558
Hg 0.7516 0.0000 0.7442
Br 0.0000 0.5000 0.0000
Br 0.5000 0.0000 0.0000
Cl 0.0000 0.0000 0.5000
Cl 0.5000 0.5000 0.5000
! Uncorrected formation energy = -0.261 eV/atom
! Total moment = 0.0 μB per cell
! Polymorph energy (0 for the lowest one) = 0.084 eV/atom
! Space-group type = C2/m
! DOS(E_F) = 1.6 states/eV/cell
! Crystal system = monoclinic


# 10
! PBE YMg2Pb, optimized geometry; values from VASP
&SYSTEM
  ibrav = 0, nat = 8, ntyp = 3
/
ATOMIC_SPECIES
Y 88.91 Y.upf
Mg 24.30 Mg.upf
Pb 207.20 Pb.upf
CELL_PARAMETERS angstrom
4.5162 0.0000 0.0000
0.0000 4.5162 0.0000
0.0000 0.0000 10.3391
ATOMIC_POSITIONS crystal
Y 0.0000 0.0000 0.0000
Y 0.5000 0.5000 0.5000
Mg 0.0000 0.5000 0.2500
Mg 0.0000 0.5000 0.7500
Mg 0.5000 0.0000 0.2500
Mg 0.5000 0.0000 0.7500
Pb 0.0000 0.0000 0.5000
Pb 0.5000 0.5000 0.0000
! Total moment = 0.0 μB per cell
! Formation energy from the elements = -0.203 eV per atom
! Space-group type = I4/mmm
! DOS(E_F) = 6.8 states/eV/cell
! Crystal system = tetragonal


# 11
! PBE CaSc3Mo, optimized geometry; values from VASP
&SYSTEM
  ibrav = 0, nat = 5, ntyp = 3
/
ATOMIC_SPECIES
Ca 40.08 Ca.upf
Sc 44.96 Sc.upf
Mo 95.94 Mo.upf
CELL_PARAMETERS angstrom
5.1609 0.0000 0.0000
0.0000 5.1609 0.0000
0.0000 0.0000 5.1609
ATOMIC_POSITIONS crystal
Ca 0.0000 0.0000 0.0000
Sc 0.0000 0.5000 0.5000
Sc 0.5000 0.0000 0.5000
Sc 0.5000 0.5000 0.0000
Mo 0.5000 0.5000 0.5000
! Total moment = 0.0 μB per cell
! Formation energy from the elements = 0.279 eV per atom
! Space-group type = Pm-3m
! DOS(E_F) = 5.5 states/eV/cell
! Crystal system = cubic


# 12
! PBE Na2Zn5Cd5, optimized geometry; values from VASP
&SYSTEM
  ibrav = 0, nat = 12, ntyp = 3
/
ATOMIC_SPECIES
Na 22.99 Na.upf
Zn 65.41 Zn.upf
Cd 112.41 Cd.upf
CELL_PARAMETERS angstrom
4.6969 0.0000 0.0000
0.0000 5.4260 0.0000
0.0000 0.0000 9.9494
ATOMIC_POSITIONS crystal
Na 0.0000 0.0000 0.0000
Na 0.0000 0.5000 0.5000
Zn 0.5000 0.0000 0.5000
Zn 0.5000 0.2544 0.2663
Zn 0.5000 0.2544 0.7337
Zn 0.5000 0.7456 0.2663
Zn 0.5000 0.7456 0.7337
Cd 0.0000 0.0000 0.3331
Cd 0.0000 0.0000 0.6669
Cd 0.0000 0.5000 0.1810
Cd 0.0000 0.5000 0.8190
Cd 0.5000 0.5000 0.0000
! Total moment = 0.0 μB per cell
! Formation energy from the elements = -0.010 eV per atom
! Space-group type = Pmmm
! DOS(E_F) = 3.7 states/eV/cell
! Crystal system = orthorhombic